--- i ---
Compound: LaTcAu
Source: Alexandria
Functional: PBE-GGA
Structure: optimized geometry

abc: 4.666 4.666 4.666
angles: 60.00 60.00 60.00
Sites, in units of the cell vectors:
Au (0.000, 0.000, 0.000)
La (0.500, 0.500, 0.500)
Tc (0.750, 0.750, 0.750)

For the total magnetization, the calculation gives 1.1 Bohr magnetons per cell.


--- ii ---
Compound: LaTcAu
Source: Alexandria
Functional: PBE-GGA
Structure: optimized geometry

abc: 4.518 4.518 4.064
angles: 90.00 90.00 120.00
Sites, in units of the cell vectors:
Au (0.000, 0.000, 0.833)
La (0.333, 0.667, 0.333)
Tc (0.667, 0.333, 0.833)

For the total magnetization, the calculation gives 1.0 Bohr magnetons per cell.


Stability summary - winner: ii; margin: 301 meV/atom.


--- i ---
Compound: LaTcAu3
Source: Alexandria
Functional: PBE-GGA
Structure: optimized geometry

abc: 5.471 5.471 5.471
angles: 90.00 90.00 90.00
Sites, in units of the cell vectors:
Au (0.000, 0.000, 0.500)
Au (0.500, 0.000, 0.000)
Au (0.000, 0.500, 0.000)
La (0.000, 0.000, 0.000)
Tc (0.500, 0.500, 0.500)

For the total magnetization, the calculation gives 0.4 Bohr magnetons per cell.


--- ii ---
Compound: LaTcAu3
Source: Alexandria
Functional: PBE-GGA
Structure: optimized geometry

abc: 5.040 5.040 5.040
angles: 90.00 90.00 90.00
Sites, in units of the cell vectors:
Au (0.000, 0.000, 0.500)
Au (0.000, 0.500, 0.000)
Au (0.500, 0.000, 0.000)
Tc (0.000, 0.000, 0.000)
La (0.500, 0.500, 0.500)

For the total magnetization, the calculation gives 0.5 Bohr magnetons per cell.


Stability summary - winner: ii; margin: 1256 meV/atom.


--- i ---
Compound: La4TcAu
Source: Alexandria
Functional: PBE-GGA
Structure: optimized geometry

abc: 6.510 7.841 7.841
angles: 111.98 98.32 98.32
Sites, in units of the cell vectors:
La (0.465, 0.725, 0.062)
La (0.918, 0.624, 0.782)
La (0.965, 0.062, 0.725)
La (0.582, 0.218, 0.376)
La (0.418, 0.782, 0.624)
La (0.035, 0.938, 0.275)
La (0.535, 0.275, 0.938)
La (0.082, 0.376, 0.218)
Au (0.750, 0.626, 0.374)
Au (0.250, 0.374, 0.626)
Tc (0.750, 0.999, 0.001)
Tc (0.250, 0.001, 0.999)

For the total magnetization, the calculation gives 0.0 Bohr magnetons per cell.


--- ii ---
Compound: La4TcAu
Source: Alexandria
Functional: PBE-GGA
Structure: optimized geometry

abc: 6.168 6.168 6.168
angles: 60.00 60.00 60.00
Sites, in units of the cell vectors:
La (0.376, 0.376, 0.873)
La (0.376, 0.376, 0.376)
La (0.873, 0.376, 0.376)
La (0.376, 0.873, 0.376)
Tc (0.750, 0.750, 0.750)
Au (0.000, 0.000, 0.000)

For the total magnetization, the calculation gives 0.0 Bohr magnetons per cell.


Stability summary - winner: i; margin: 1025 meV/atom.


--- i ---
Compound: La2TeAu2
Source: Alexandria
Functional: PBE-GGA
Structure: optimized geometry

abc: 5.598 5.598 6.344
angles: 63.82 63.82 90.00
Sites, in units of the cell vectors:
Au (0.366, 0.366, 0.268)
Au (0.634, 0.634, 0.732)
La (0.750, 0.250, 0.500)
La (0.250, 0.750, 0.500)
Te (0.000, 0.000, 0.000)

For the total magnetization, the calculation gives 0.0 Bohr magnetons per cell.


--- ii ---
Compound: La2TeAu2
Source: Alexandria
Functional: PBE-GGA
Structure: optimized geometry

abc: 8.292 8.292 4.040
angles: 90.00 90.00 90.00
Sites, in units of the cell vectors:
Au (0.122, 0.378, 0.000)
Au (0.878, 0.622, 0.000)
Au (0.622, 0.122, 0.000)
Au (0.378, 0.878, 0.000)
Te (0.500, 0.500, 0.000)
Te (0.000, 0.000, 0.000)
La (0.175, 0.675, 0.500)
La (0.325, 0.175, 0.500)
La (0.675, 0.825, 0.500)
La (0.825, 0.325, 0.500)

For the total magnetization, the calculation gives 0.0 Bohr magnetons per cell.


Stability summary - winner: ii; margin: 233 meV/atom.